Record 1
Here is a relaxed RuAuF2 crystal from the Alexandria database. Energies are from PBE.

Computed properties:
- energy (eV/atom) = -4.791
- relative energy among the computed polymorphs (meV/atom) = 0.0

Unit cell a=2.7184 b=2.7184 c=30.1463 alpha=90.00 beta=90.00 gamma=120.00
Space group R-3m (No. 166, hexagonal axes)
Unique sites:
Ru 0.0000 0.0000 0.0000 (multiplicity 3)
Au 0.0000 0.0000 0.5000 (multiplicity 3)
F 0.0000 0.0000 0.0622 (multiplicity 6)

---

Record 2
Here is a relaxed RuAuF3 crystal from the Alexandria database. Energies are from PBE.

Computed properties:
- energy (eV/atom) = -3.624
- relative energy among the computed polymorphs (meV/atom) = 602.8

Unit cell a=4.433 b=4.433 c=4.433 alpha=90.00 beta=90.00 gamma=90.00
Space group Pm-3m (No. 221)
Unique sites:
Ru 0.000 0.000 0.000 (multiplicity 1)
Au 0.500 0.500 0.500 (multiplicity 1)
F 0.000 0.500 0.500 (multiplicity 3)

---

Record 3
Here is a relaxed RuAuF2 crystal from the Alexandria database. Energies are from PBE.

Computed properties:
- energy (eV/atom) = -4.116
- relative energy among the computed polymorphs (meV/atom) = 675.4

Unit cell a=6.069 b=6.069 c=6.069 alpha=90.00 beta=90.00 gamma=90.00
Space group Fm-3m (No. 225)
Unique sites:
Ru 0.000 0.000 0.000 (multiplicity 4)
Au 0.000 0.000 0.500 (multiplicity 4)
F 0.250 0.250 0.250 (multiplicity 8)

---

Record 4
Here is a relaxed RuAu2F8 crystal from the Alexandria database. Energies are from PBE.

Computed properties:
- energy (eV/atom) = -4.049

Unit cell a=5.593 b=5.613 c=5.985 alpha=91.19 beta=91.47 gamma=91.72
Space group P-1 (No. 2)
Unique sites:
Ru 0.000 0.000 0.000 (multiplicity 1)
Au 0.217 0.587 0.553 (multiplicity 2)
F 0.077 0.893 0.695 (multiplicity 2)
F 0.173 0.288 0.952 (multiplicity 2)
F 0.278 0.860 0.117 (multiplicity 2)
F 0.387 0.312 0.411 (multiplicity 2)

---

- The highest energy belongs to which entry?
  RuAuF3